Below is a relaxed structure of CoRhC2S, with properties calculated at the PBE level.

Summary:
- energy (eV per atom) = -6.160

Cell: 3.491 3.491 5.346 Å, 90.00 90.00 90.00°
Space group P4/mmm (No. 123)
Inequivalent atoms, fractional coordinates:
Co 0.000 0.000 0.000 x1
Rh 0.000 0.000 0.500 x1
C 0.000 0.500 0.000 x2
S 0.500 0.500 0.500 x1